1.
VASP calculation (PBE) on a geometry-optimized Ni2TeIr structure.

Space group: Pmmm (47)
Energy above the most stable polymorph in this dataset: 105 meV/atom

The structure in POSCAR format:
```
Ni2TeIr
1.0
2.965 0.000 0.000
0.000 3.612 0.000
0.000 0.000 5.518
Ni Te Ir
2 1 1
Direct
0.000 0.000 0.232
0.000 0.000 0.768
0.500 0.500 0.500
0.500 0.500 0.000
```

***

2.
VASP calculation (PBE) on a geometry-optimized SmSc2Tl2Ag2 structure.

Space group: R-3m (166)
ΔH_f (0 K): -0.187 eV per atom

The structure in POSCAR format:
```
SmSc2Tl2Ag2
1.0
2.390 1.380 8.436
-2.390 1.380 8.436
0.000 -2.760 8.436
Sm Sc Tl Ag
1 2 2 2
Direct
0.000 0.000 0.000
0.136 0.136 0.136
0.864 0.864 0.864
0.262 0.262 0.262
0.738 0.738 0.738
0.441 0.441 0.441
0.559 0.559 0.559
```

***

3.
VASP calculation (PBE) on a geometry-optimized Ca2FeBr structure.

Space group: I-4m2 (119)
Energy above the most stable polymorph in this dataset: 316 meV/atom

The structure in POSCAR format:
```
Ca2FeBr
1.0
-2.121 2.121 6.196
2.121 -2.121 6.196
2.121 2.121 -6.196
Ca Fe Br
2 1 1
Direct
0.000 0.000 0.000
0.750 0.250 0.500
0.250 0.750 0.500
0.500 0.500 0.000
```

***

4.
VASP calculation (PBE) on a geometry-optimized YPd2Au4 structure.

Space group: I-42d (122)
ΔH_f (0 K): -0.304 eV per atom
Energy above the most stable polymorph in this dataset: 153 meV/atom

The structure in POSCAR format:
```
YPd2Au4
1.0
-4.050 4.050 4.276
4.050 -4.050 4.276
4.050 4.050 -4.276
Y Pd Au
2 4 8
Direct
0.000 0.000 0.000
0.750 0.250 0.500
0.197 0.125 0.572
0.375 0.803 0.928
0.553 0.625 0.428
0.875 0.447 0.072
0.163 0.431 0.433
0.181 0.413 0.933
0.270 0.837 0.267
0.480 0.248 0.067
0.569 0.002 0.733
0.587 0.520 0.767
0.752 0.819 0.233
0.998 0.730 0.567
```

***

5.
VASP calculation (PBE) on a geometry-optimized LaPmSmDy2 structure.

Space group: Cmcm (63)
ΔH_f (0 K): 0.343 eV per atom

The structure in POSCAR format:
```
LaPmSmDy2
1.0
4.260 -5.832 0.000
4.260 5.832 0.000
0.000 0.000 7.238
La Pm Sm Dy
2 2 2 4
Direct
0.235 0.765 0.750
0.765 0.235 0.250
0.223 0.777 0.250
0.777 0.223 0.750
0.499 0.501 0.250
0.501 0.499 0.750
0.188 0.188 0.000
0.188 0.188 0.500
0.812 0.812 0.000
0.812 0.812 0.500
```

***

6.
VASP calculation (PBE) on a geometry-optimized BC2 structure.

Space group: Cm (8)
ΔH_f (0 K): 0.361 eV per atom
Energy above the most stable polymorph in this dataset: 121 meV/atom

The structure in POSCAR format:
```
BC2
1.0
2.271 -3.945 0.000
2.271 3.945 0.000
-1.536 0.000 4.367
B C
4 8
Direct
0.000 0.000 0.000
0.178 0.178 0.527
0.489 0.818 0.443
0.818 0.489 0.443
0.201 0.863 0.595
0.333 0.982 0.949
0.357 0.691 0.071
0.539 0.539 0.589
0.635 0.635 0.951
0.691 0.357 0.071
0.863 0.201 0.595
0.982 0.333 0.949
```

***

7.
VASP calculation (PBE) on a geometry-optimized La2Y3Er5 structure.

Space group: C2/c (15)
ΔH_f (0 K): 0.199 eV per atom

The structure in POSCAR format:
```
La2Y3Er5
1.0
5.331 -7.975 0.000
5.331 7.975 0.000
-5.312 0.000 7.764
La Y Er
4 6 10
Direct
0.020 0.275 0.048
0.275 0.020 0.548
0.725 0.980 0.452
0.980 0.725 0.952
0.021 0.979 0.750
0.224 0.474 0.451
0.474 0.224 0.951
0.526 0.776 0.049
0.776 0.526 0.549
0.979 0.021 0.250
0.134 0.385 0.760
0.226 0.774 0.750
0.273 0.727 0.250
0.385 0.134 0.260
0.475 0.525 0.250
0.525 0.475 0.750
0.615 0.866 0.740
0.727 0.273 0.750
0.774 0.226 0.250
0.866 0.615 0.240
```

***

8.
VASP calculation (PBE) on a geometry-optimized CaHfIn2 structure.

Space group: Fm-3m (225)
ΔH_f (0 K): -0.101 eV per atom
Energy above the most stable polymorph in this dataset: 167 meV/atom

The structure in POSCAR format:
```
CaHfIn2
1.0
0.000 3.662 3.662
3.662 0.000 3.662
3.662 3.662 0.000
Ca Hf In
1 1 2
Direct
0.000 0.000 0.000
0.500 0.500 0.500
0.250 0.250 0.250
0.750 0.750 0.750
```